(1)
Density functional theory data (GGA-PBE) for a geometry-optimized La19Y4Er6 structure.

a = 12.814 Å, b = 12.814 Å, c = 12.814 Å
α = 90.00°, β = 90.00°, γ = 90.00°
Space group I23 (No. 197)
One atom of each set of equivalent atoms:
1 La 0.000 0.000 0.000 [2 per cell]
2 La 0.000 0.000 0.255 [12 per cell]
3 La 0.061 0.288 0.747 [24 per cell]
4 Y 0.182 0.182 0.182 [8 per cell]
5 Er 0.000 0.124 0.500 [12 per cell]

density of states at the Fermi level	1.655	states/eV per atom
mass density	6.311	g/cm3



(2)
Density functional theory data (GGA-PBE) for a geometry-optimized LaY4Er6 structure.

a = 5.663 Å, b = 9.743 Å, c = 25.647 Å
α = 90.00°, β = 90.00°, γ = 90.00°
Space group Cmcm (No. 63)
One atom of each set of equivalent atoms:
1 La 0.000 0.172 0.250 [4 per cell]
2 Y 0.000 0.165 0.541 [8 per cell]
3 Y 0.000 0.495 0.622 [8 per cell]
4 Er 0.000 0.161 0.681 [8 per cell]
5 Er 0.000 0.171 0.101 [8 per cell]
6 Er 0.000 0.494 0.750 [4 per cell]
7 Er 0.000 0.500 0.000 [4 per cell]

density of states at the Fermi level	1.770	states/eV per atom
mass density	7.032	g/cm3
excess energy over the best structure of this formula in the dataset	0.0	meV per atom



(3)
Density functional theory data (GGA-PBE) for a geometry-optimized LaYEr2 structure.

a = 13.147 Å, b = 3.585 Å, c = 11.172 Å
α = 90.00°, β = 90.21°, γ = 90.00°
Space group Cm (No. 8)
One atom of each set of equivalent atoms:
1 La 0.000 0.000 0.000 [2 per cell]
2 La 0.126 0.500 0.718 [2 per cell]
3 Y 0.006 0.000 0.454 [2 per cell]
4 Y 0.160 0.500 0.232 [2 per cell]
5 Er 0.266 0.000 0.959 [2 per cell]
6 Er 0.272 0.000 0.491 [2 per cell]
7 Er 0.386 0.000 0.228 [2 per cell]
8 Er 0.387 0.500 0.725 [2 per cell]

density of states at the Fermi level	1.814	states/eV per atom
mass density	7.093	g/cm3
excess energy over the best structure of this formula in the dataset	25.9	meV per atom



(4)
Density functional theory data (GGA-PBE) for a geometry-optimized La4YEr4 structure.

a = 11.374 Å, b = 6.944 Å, c = 8.901 Å
α = 90.00°, β = 116.56°, γ = 90.00°
Space group Cm (No. 8)
One atom of each set of equivalent atoms:
1 La 0.000 0.000 0.000 [2 per cell]
2 La 0.105 0.500 0.088 [2 per cell]
3 La 0.220 0.220 0.476 [4 per cell]
4 Y 0.062 0.500 0.669 [2 per cell]
5 Er 0.289 0.000 0.867 [2 per cell]
6 Er 0.392 0.236 0.252 [4 per cell]
7 Er 0.490 0.500 0.603 [2 per cell]

density of states at the Fermi level	1.461	states/eV per atom
mass density	6.938	g/cm3



(5)
Density functional theory data (GGA-PBE) for a geometry-optimized La2Y2Er5 structure.

a = 14.932 Å, b = 11.923 Å, c = 6.703 Å
α = 90.00°, β = 90.00°, γ = 90.00°
Space group Ima2 (No. 46)
One atom of each set of equivalent atoms:
1 La 0.000 0.000 0.000 [4 per cell]
2 La 0.250 0.008 0.911 [4 per cell]
3 Y 0.126 0.505 0.954 [8 per cell]
4 Er 0.053 0.741 0.305 [8 per cell]
5 Er 0.142 0.234 0.108 [8 per cell]
6 Er 0.250 0.746 0.111 [4 per cell]

density of states at the Fermi level	1.577	states/eV per atom
mass density	7.191	g/cm3
excess energy over the best structure of this formula in the dataset	0.0	meV per atom



(6)
Density functional theory data (GGA-PBE) for a geometry-optimized LaYEr structure.

a = 5.083 Å, b = 15.325 Å, c = 5.145 Å
α = 90.00°, β = 90.00°, γ = 90.00°
Space group Cmcm (No. 63)
One atom of each set of equivalent atoms:
1 La 0.000 0.084 0.250 [4 per cell]
2 Y 0.000 0.414 0.250 [4 per cell]
3 Er 0.000 0.248 0.750 [4 per cell]

density of states at the Fermi level	1.749	states/eV per atom
mass density	6.548	g/cm3
excess energy over the best structure of this formula in the dataset	5.8	meV per atom



(7)
Density functional theory data (GGA-PBE) for a geometry-optimized La2Y4Er5 structure.

a = 17.242 Å, b = 3.531 Å, c = 11.814 Å
α = 90.00°, β = 95.09°, γ = 90.00°
Space group C2/m (No. 12)
One atom of each set of equivalent atoms:
1 La 0.133 0.000 0.313 [4 per cell]
2 Y 0.178 0.500 0.578 [4 per cell]
3 Y 0.231 0.000 0.858 [4 per cell]
4 Er 0.000 0.000 0.500 [2 per cell]
5 Er 0.044 0.500 0.788 [4 per cell]
6 Er 0.091 0.000 0.043 [4 per cell]

density of states at the Fermi level	1.858	states/eV per atom
mass density	6.813	g/cm3
excess energy over the best structure of this formula in the dataset	0.0	meV per atom



(8)
Density functional theory data (GGA-PBE) for a geometry-optimized La3YEr3 structure.

a = 9.4452 Å, b = 9.4452 Å, c = 18.7378 Å
α = 90.00°, β = 90.00°, γ = 120.00°
Space group R-3 (No. 148, hexagonal axes)
One atom of each set of equivalent atoms:
1 La 0.0490 0.2429 0.0775 [18 per cell]
2 Y 0.0000 0.0000 0.4084 [6 per cell]
3 Er 0.0510 0.2354 0.2606 [18 per cell]

density of states at the Fermi level	1.452	states/eV per atom
mass density	6.933	g/cm3
excess energy over the best structure of this formula in the dataset	99.5	meV per atom



(9)
Density functional theory data (GGA-PBE) for a geometry-optimized LaY5Er structure.

a = 11.386 Å, b = 12.709 Å, c = 6.978 Å
α = 90.00°, β = 109.45°, γ = 90.00°
Space group C2/c (No. 15)
One atom of each set of equivalent atoms:
1 La 0.000 0.157 0.250 [4 per cell]
2 Y 0.000 0.106 0.750 [4 per cell]
3 Y 0.029 0.367 0.534 [8 per cell]
4 Y 0.245 0.471 0.361 [8 per cell]
5 Er 0.250 0.250 0.000 [4 per cell]

density of states at the Fermi level	1.564	states/eV per atom
mass density	5.237	g/cm3



(10)
Density functional theory data (GGA-PBE) for a geometry-optimized La9Y2Er structure.

a = 5.207 Å, b = 5.207 Å, c = 15.617 Å
α = 90.00°, β = 90.00°, γ = 90.00°
Space group P4/mmm (No. 123)
One atom of each set of equivalent atoms:
1 La 0.000 0.000 0.000 [1 per cell]
2 La 0.000 0.000 0.333 [2 per cell]
3 La 0.000 0.500 0.166 [4 per cell]
4 La 0.000 0.500 0.500 [2 per cell]
5 Y 0.500 0.500 0.333 [2 per cell]
6 Er 0.500 0.500 0.000 [1 per cell]

density of states at the Fermi level	1.250	states/eV per atom
mass density	6.257	g/cm3



(11)
Density functional theory data (GGA-PBE) for a geometry-optimized La2Y5Er12 structure.

a = 15.870 Å, b = 9.172 Å, c = 8.490 Å
α = 90.00°, β = 91.25°, γ = 90.00°
Space group C2/m (No. 12)
One atom of each set of equivalent atoms:
1 La 0.000 0.191 0.000 [4 per cell]
2 Y 0.000 0.500 0.500 [2 per cell]
3 Y 0.198 0.000 0.006 [4 per cell]
4 Y 0.234 0.500 0.578 [4 per cell]
5 Er 0.056 0.000 0.328 [4 per cell]
6 Er 0.096 0.500 0.884 [4 per cell]
7 Er 0.126 0.192 0.649 [8 per cell]
8 Er 0.158 0.319 0.248 [8 per cell]

density of states at the Fermi level	1.468	states/eV per atom
mass density	7.337	g/cm3
excess energy over the best structure of this formula in the dataset	106.1	meV per atom



(12)
Density functional theory data (GGA-PBE) for a geometry-optimized La8Y2Er3 structure.

a = 20.628 Å, b = 7.748 Å, c = 5.818 Å
α = 90.00°, β = 90.03°, γ = 90.00°
Space group C2/m (No. 12)
One atom of each set of equivalent atoms:
1 La 0.104 0.199 0.000 [8 per cell]
2 La 0.129 0.500 0.500 [4 per cell]
3 La 0.174 0.000 0.501 [4 per cell]
4 Y 0.239 0.500 0.999 [4 per cell]
5 Er 0.000 0.216 0.500 [4 per cell]
6 Er 0.000 0.500 0.000 [2 per cell]

density of states at the Fermi level	1.318	states/eV per atom
mass density	6.395	g/cm3
excess energy over the best structure of this formula in the dataset	33.8	meV per atom



(13)
Density functional theory data (GGA-PBE) for a geometry-optimized LaY2Er4 structure.

a = 6.131 Å, b = 6.564 Å, c = 11.441 Å
α = 90.00°, β = 103.56°, γ = 90.00°
Space group P2_1/m (No. 11)
One atom of each set of equivalent atoms:
1 La 0.054 0.250 0.364 [2 per cell]
2 Y 0.154 0.250 0.951 [2 per cell]
3 Y 0.392 0.750 0.511 [2 per cell]
4 Er 0.148 0.250 0.666 [2 per cell]
5 Er 0.285 0.750 0.922 [2 per cell]
6 Er 0.353 0.510 0.210 [4 per cell]

density of states at the Fermi level	1.628	states/eV per atom
mass density	7.314	g/cm3
excess energy over the best structure of this formula in the dataset	91.9	meV per atom



(14)
Density functional theory data (GGA-PBE) for a geometry-optimized La2Y8Er structure.

a = 9.092 Å, b = 16.087 Å, c = 5.936 Å
α = 90.00°, β = 121.50°, γ = 90.00°
Space group C2/m (No. 12)
One atom of each set of equivalent atoms:
1 La 0.000 0.195 0.000 [4 per cell]
2 Y 0.000 0.292 0.500 [4 per cell]
3 Y 0.080 0.000 0.299 [4 per cell]
4 Y 0.212 0.387 0.165 [8 per cell]
5 Er 0.000 0.500 0.500 [2 per cell]

density of states at the Fermi level	1.423	states/eV per atom
mass density	5.188	g/cm3



(15)
Density functional theory data (GGA-PBE) for a geometry-optimized La2Y3Er7 structure.

a = 6.351 Å, b = 3.516 Å, c = 17.455 Å
α = 90.00°, β = 96.09°, γ = 90.00°
Space group P2/m (No. 10)
One atom of each set of equivalent atoms:
1 La 0.058 0.000 0.173 [2 per cell]
2 Y 0.454 0.500 0.843 [2 per cell]
3 Y 0.500 0.000 0.500 [1 per cell]
4 Er 0.000 0.500 0.500 [1 per cell]
5 Er 0.227 0.000 0.665 [2 per cell]
6 Er 0.257 0.000 0.999 [2 per cell]
7 Er 0.276 0.500 0.338 [2 per cell]

density of states at the Fermi level	1.581	states/eV per atom
mass density	7.349	g/cm3
excess energy over the best structure of this formula in the dataset	0.0	meV per atom



(16)
Density functional theory data (GGA-PBE) for a geometry-optimized LaY8Er2 structure.

a = 19.308 Å, b = 6.994 Å, c = 5.546 Å
α = 90.00°, β = 92.85°, γ = 90.00°
Space group C2/m (No. 12)
One atom of each set of equivalent atoms:
1 La 0.000 0.000 0.000 [2 per cell]
2 Y 0.047 0.500 0.238 [4 per cell]
3 Y 0.135 0.267 0.732 [8 per cell]
4 Y 0.190 0.000 0.235 [4 per cell]
5 Er 0.215 0.500 0.248 [4 per cell]

density of states at the Fermi level	1.785	states/eV per atom
mass density	5.260	g/cm3
excess energy over the best structure of this formula in the dataset	14.6	meV per atom



(17)
Density functional theory data (GGA-PBE) for a geometry-optimized La7Y2Er2 structure.

a = 11.550 Å, b = 11.632 Å, c = 6.216 Å
α = 90.00°, β = 111.65°, γ = 90.00°
Space group C2/m (No. 12)
One atom of each set of equivalent atoms:
1 La 0.000 0.000 0.000 [2 per cell]
2 La 0.075 0.500 0.803 [4 per cell]
3 La 0.184 0.232 0.182 [8 per cell]
4 Y 0.000 0.209 0.500 [4 per cell]
5 Er 0.230 0.000 0.586 [4 per cell]

density of states at the Fermi level	1.539	states/eV per atom
mass density	6.352	g/cm3
excess energy over the best structure of this formula in the dataset	0.0	meV per atom



(18)
Density functional theory data (GGA-PBE) for a geometry-optimized La5Y3Er structure.

a = 19.088 Å, b = 6.542 Å, c = 11.619 Å
α = 90.00°, β = 115.60°, γ = 90.00°
Space group C2/c (No. 15)
One atom of each set of equivalent atoms:
1 La 0.000 0.095 0.250 [4 per cell]
2 La 0.165 0.202 0.711 [8 per cell]
3 La 0.174 0.316 0.361 [8 per cell]
4 Y 0.000 0.500 0.000 [4 per cell]
5 Y 0.159 0.215 0.015 [8 per cell]
6 Er 0.000 0.378 0.750 [4 per cell]

density of states at the Fermi level	1.683	states/eV per atom
mass density	5.728	g/cm3
excess energy over the best structure of this formula in the dataset	0.0	meV per atom



(19)
Density functional theory data (GGA-PBE) for a geometry-optimized La9YEr2 structure.

a = 5.199 Å, b = 5.199 Å, c = 15.597 Å
α = 90.00°, β = 90.00°, γ = 90.00°
Space group P4/mmm (No. 123)
One atom of each set of equivalent atoms:
1 La 0.000 0.000 0.000 [1 per cell]
2 La 0.000 0.000 0.334 [2 per cell]
3 La 0.000 0.500 0.168 [4 per cell]
4 La 0.000 0.500 0.500 [2 per cell]
5 Y 0.500 0.500 0.000 [1 per cell]
6 Er 0.500 0.500 0.334 [2 per cell]

density of states at the Fermi level	1.230	states/eV per atom
mass density	6.592	g/cm3



Going through the records in order, we get formation enthalpy at 0 K values of 351, 120, 36, 208, 204, 39, 68, 137, 194, 6, 135, 178, 122, 160, 88, 132, 121, 241, 7 meV/atom.
Going through the records in order, we get E_tot values of -4.713, -5.167, -5.093, -4.728, -4.863, -5.279, -5.253, -4.854, -5.779, -5.147, -4.966, -4.902, -5.036, -5.852, -5.010, -5.847, -5.020, -5.158, -4.988 eV per atom.
Going through the records in order, we get volume values of 2104.18, 1415.05, 526.56, 628.76, 1193.31, 400.77, 716.49, 1447.68, 952.09, 423.37, 1235.52, 929.96, 447.59, 740.21, 387.57, 747.94, 776.20, 1308.50, 421.58 Å³ per cell.